Record 1
# LiCrBO3 (PBE with a Hubbard U, relaxed)
# Calculated total energy (eV per atom): -7.2700
# Energy above the lowest structure with this stoichiometry (kcal/mol of atoms): 0.00
data_LiCrBO3
_space_group_name_H-M_alt 'P -6'
_space_group_IT_number 174
_space_group_name_Hall 'P -6'
_cell_length_a 8.2225
_cell_length_b 8.2225
_cell_length_c 3.1633
_cell_angle_alpha 90.00
_cell_angle_beta 90.00
_cell_angle_gamma 120.00
loop_
_atom_site_label
_atom_site_type_symbol
_atom_site_fract_x
_atom_site_fract_y
_atom_site_fract_z
Li1 Li 0.0639 0.3783 0.0000
Cr1 Cr 0.3512 0.2901 0.5000
B1 B 0.0000 0.0000 0.0000
B2 B 0.3333 0.6667 0.5000
B3 B 0.6667 0.3333 0.0000
O1 O 0.1943 0.1080 0.0000
O2 O 0.2197 0.4715 0.5000
O3 O 0.5499 0.4111 0.0000

Record 2
# KAlV2O8 (PBE with a Hubbard U, relaxed)
# Calculated total energy (eV per atom): -6.7895
# N(E_F) (states/eV/cell): 5.41
data_KAlV2O8
_space_group_name_H-M_alt 'P -3 m 1'
_space_group_IT_number 164
_space_group_name_Hall '-P 3 2"'
_cell_length_a 5.5351
_cell_length_b 5.5351
_cell_length_c 7.3940
_cell_angle_alpha 90.00
_cell_angle_beta 90.00
_cell_angle_gamma 120.00
loop_
_atom_site_label
_atom_site_type_symbol
_atom_site_fract_x
_atom_site_fract_y
_atom_site_fract_z
K1 K 0.0000 0.0000 0.0000
Al1 Al 0.0000 0.0000 0.5000
V1 V 0.3333 0.6667 0.7218
O1 O 0.1595 0.3190 0.6474
O2 O 0.3333 0.6667 0.9492